Entry 1:
First-principles (GGA-PBE) data for a relaxed structure of Na2TlAu, as listed in the Alexandria database. Values from VASP.

Values from the calculation:
Space-group type ... No. 164
E_form ... -0.23 eV/atom
N(E_F) ... 2.34 states/eV/f.u.
Total magnetization ... 0.00 Bohr magnetons per cell

Cell and atoms, written as Quantum ESPRESSO input:
```
&SYSTEM
  ibrav = 0, nat = 8, ntyp = 3
/
ATOMIC_SPECIES
Na 22.99 Na.upf
Tl 204.38 Tl.upf
Au 196.97 Au.upf
CELL_PARAMETERS angstrom
5.0583 0.0000 0.0000
-2.5291 4.3806 0.0000
0.0000 0.0000 9.3666
ATOMIC_POSITIONS angstrom
Na 0.0000 2.9204 0.7309
Na 0.0000 2.9204 3.9427
Na 2.5291 1.4602 5.4240
Na 2.5291 1.4602 8.6357
Tl 0.0000 0.0000 2.3317
Tl 0.0000 0.0000 7.0349
Au 0.0000 2.9204 7.0245
Au 2.5291 1.4602 2.3421
```

***

Entry 2:
First-principles (GGA-PBE) data for a relaxed structure of Na8Tl2Au, as listed in the Alexandria database. Values from VASP.

Values from the calculation:
Space-group type ... No. 12
E_form ... -0.11 eV/atom
N(E_F) ... 5.10 states/eV/f.u.
Relative energy among the computed polymorphs ... 0 kJ/mol of formula units
Total magnetization ... 0.00 Bohr magnetons per cell

Cell and atoms, written as Quantum ESPRESSO input:
```
&SYSTEM
  ibrav = 0, nat = 11, ntyp = 3
/
ATOMIC_SPECIES
Na 22.99 Na.upf
Tl 204.38 Tl.upf
Au 196.97 Au.upf
CELL_PARAMETERS angstrom
8.7049 -2.5339 0.0000
8.7049 2.5339 0.0000
-1.4907 0.0000 7.1465
ATOMIC_POSITIONS angstrom
Na 0.1829 0.0000 1.8882
Na 1.6460 0.0000 4.9219
Na 4.9333 0.0000 4.2311
Na 6.9153 0.0000 0.5512
Na 9.0037 0.0000 6.5953
Na 10.9857 0.0000 2.9154
Na 14.2730 0.0000 2.2246
Na 15.7361 0.0000 5.2583
Tl 3.5255 0.0000 1.0074
Tl 12.3935 0.0000 6.1391
Au 7.9595 0.0000 3.5733
```